# Zr2BeIr

A geometry-optimized Zr2BeIr structure (GGA-PBEsol, the Alexandria database).

Lattice parameters (Å, degrees): 3.0982 3.0982 6.8373 90.00 90.00 90.00
Last column: nearest neighbours and their distance in Å.
Fractional coordinates of all 4 atoms:
1 Zr 0.5000 0.5000 0.2824  1 Ir 2.86, 4 Be 2.87, 8 Zr 3.09-3.10
2 Zr 0.0000 0.0000 0.9639  1 Be 2.81, 4 Ir 2.84, 8 Zr 3.09-3.10
3 Ir 0.5000 0.5000 0.7003  4 Be 2.41
4 Be 0.0000 0.0000 0.5534  4 Ir 2.41

## Properties
D(E_F)	2.366	states/eV/f.u.
ρ	9.7	g/cm³
uncorrected energy	-33.52	eV for the cell shown
formation energy from the elements	-37	kJ/mol of atoms

***

# Sc2CoRe

A geometry-optimized Sc2CoRe structure (GGA-PBEsol, the Alexandria database).

Lattice parameters (Å, degrees): 3.1058 4.5013 4.5013 90.00 90.00 90.00
Last column: nearest neighbours and their distance in Å.
Fractional coordinates of all 4 atoms:
1 Sc 0.0000 0.5000 0.0000  4 Re 2.73, 4 Co 2.73
2 Sc 0.0000 0.0000 0.5000  4 Re 2.73, 4 Co 2.73
3 Re 0.5000 0.0000 0.0000  8 Sc 2.73
4 Co 0.5000 0.5000 0.5000  8 Sc 2.73

## Properties
D(E_F)	5.498	states/eV/f.u.
ρ	8.8	g/cm³
uncorrected energy	-34.43	eV for the cell shown
formation energy from the elements	-4	kJ/mol of atoms